Mg4Al5Ga6: optimized geometry, PBE.

Summary:
As for the total energy: -2.9190 eV per atom. The energy relative to the elements comes out at -0.04 eV per atom.

Lattice parameters (Å, degrees): 4.0747 20.2638 13.9792 90.00 90.00 90.00
With the nearest neighbours (Å) after each atom.
Space group Cmc2_1 (No. 36)
Asymmetric unit:
Mg  0.0000  0.0262  0.0000 x4  7 Ga 2.83-3.10
Mg  0.0000  0.0455  0.2771 x4  6 Ga 2.93-2.98, 5 Al 3.18-3.23
Mg  0.0000  0.1373  0.7845 x4  6 Ga 2.92-3.02, 2 Al 3.18
Mg  0.0000  0.1807  0.4267 x4  6 Ga 2.69-2.92, 2 Al 2.98
Al  0.0000  0.1624  0.1199 x4  4 Ga 2.67-2.71, 4 Al 2.95
Al  0.0000  0.3135  0.0945 x4  4 Ga 2.61-2.70
Al  0.0000  0.3325  0.7726 x4  4 Ga 2.66-2.81, 2 Al 2.95, 2 Mg 2.98
Al  0.0000  0.3535  0.4687 x4  4 Ga 2.60-2.69
Al  0.0000  0.4520  0.1670 x4  4 Ga 2.59-2.62
Ga  0.0000  0.1018  0.5817 x4  4 Al 2.60-2.67, 2 Mg 2.69-2.83
Ga  0.0000  0.2254  0.9493 x4  4 Al 2.60-2.71, 3 Mg 2.81-2.92
Ga  0.0000  0.2543  0.2602 x4  4 Al 2.61-2.70, 1 Mg 2.76
Ga  0.0000  0.4224  0.6334 x4  5 Al 2.59-2.69
Ga  0.0000  0.4227  0.9257 x4  1 Ga 2.67, 1 Al 2.81, 4 Mg 2.92-2.98
Ga  0.0000  0.4548  0.3544 x4  2 Al 2.60-2.62, 1 Ga 2.67, 2 Mg 2.90